A relaxed Nb14GeW crystal. Source: the Alexandria database, functional PBE.

Unit cell a=5.690 b=5.690 c=9.354 alpha=90.00 beta=90.00 gamma=108.30
Positions (direct):
Nb 0.125 0.875 0.000
Nb 0.625 0.375 0.000
Nb 0.125 0.375 0.500
Nb 0.125 0.375 0.000
Nb 0.625 0.875 0.500
Nb 0.625 0.875 0.000
Nb 0.383 0.133 0.744
Nb 0.383 0.133 0.256
Nb 0.867 0.617 0.744
Nb 0.867 0.617 0.256
Nb 0.372 0.628 0.746
Nb 0.372 0.628 0.254
Nb 0.878 0.122 0.746
Nb 0.878 0.122 0.254
Ge 0.125 0.875 0.500
W 0.625 0.375 0.500

Results
VASP energy ... -159.61 eV/cell
Symmetry ... Cmmm (65)

***

A relaxed NbGe3W crystal. Source: the Alexandria database, functional PBE.

Unit cell a=4.862 b=4.862 c=4.862 alpha=90.00 beta=90.00 gamma=90.00
Positions (direct):
Nb 0.500 0.500 0.500
Ge 0.000 0.500 0.000
Ge 0.000 0.000 0.500
Ge 0.500 0.000 0.000
W 0.000 0.000 0.000

Results
VASP energy ... -31.65 eV/cell
Symmetry ... Pm-3m (221)
ΔE to the lowest computed polymorph ... 0.000 eV per atom

***

A relaxed Nb3GeW crystal. Source: the Alexandria database, functional PBE.

Unit cell a=4.872 b=4.872 c=4.872 alpha=90.00 beta=90.00 gamma=90.00
Positions (direct):
Nb 0.000 0.500 0.000
Nb 0.000 0.000 0.500
Nb 0.500 0.000 0.000
Ge 0.500 0.500 0.500
W 0.000 0.000 0.000

Results
VASP energy ... -41.17 eV/cell
Symmetry ... Pm-3m (221)
ΔE to the lowest computed polymorph ... 0.114 eV per atom

***

A relaxed NbGeW crystal. Source: the Alexandria database, functional PBE.

Unit cell a=2.776 b=4.595 c=4.595 alpha=120.00 beta=90.00 gamma=90.00
Positions (direct):
Nb 0.603 0.333 0.667
Ge 0.194 0.667 0.333
W 0.203 0.000 0.000

Results
VASP energy ... -27.45 eV/cell
Symmetry ... P3m1 (156)
ΔE to the lowest computed polymorph ... 0.000 eV per atom

***

A relaxed Nb3GeW crystal. Source: the Alexandria database, functional PBE.

Unit cell a=4.690 b=4.690 c=4.690 alpha=90.00 beta=90.00 gamma=90.00
Positions (direct):
Nb 0.000 0.500 0.000
Nb 0.000 0.000 0.500
Nb 0.500 0.000 0.000
Ge 0.000 0.000 0.000
W 0.500 0.500 0.500

Results
VASP energy ... -41.74 eV/cell
Symmetry ... Pm-3m (221)
ΔE to the lowest computed polymorph ... 0.000 eV per atom

***

A relaxed Nb2Ge2W crystal. Source: the Alexandria database, functional PBE.

Unit cell a=6.772 b=6.772 c=3.597 alpha=90.00 beta=90.00 gamma=90.00
Positions (direct):
Nb 0.166 0.666 0.500
Nb 0.666 0.834 0.500
Nb 0.834 0.334 0.500
Nb 0.334 0.166 0.500
Ge 0.364 0.864 0.000
Ge 0.864 0.636 0.000
Ge 0.636 0.136 0.000
Ge 0.136 0.364 0.000
W 0.000 0.000 0.000
W 0.500 0.500 0.000

Results
VASP energy ... -86.78 eV/cell
Symmetry ... P4/mbm (127)

***

A relaxed NbGeW crystal. Source: the Alexandria database, functional PBE.

Unit cell a=2.826 b=3.151 c=12.761 alpha=90.00 beta=90.00 gamma=116.65
Positions (direct):
W 0.585 0.170 0.000
W 0.325 0.650 0.500
Nb 0.601 0.202 0.321
Nb 0.601 0.202 0.679
Ge 0.277 0.555 0.845
Ge 0.277 0.555 0.155

Results
VASP energy ... -54.51 eV/cell
Symmetry ... Amm2 (38)
ΔE to the lowest computed polymorph ... 0.066 eV per atom

***

A relaxed Nb2GeW2 crystal. Source: the Alexandria database, functional PBE.

Unit cell a=6.439 b=6.439 c=4.399 alpha=90.00 beta=90.00 gamma=90.00
Positions (direct):
Nb 0.181 0.681 0.500
Nb 0.681 0.819 0.500
Nb 0.819 0.319 0.500
Nb 0.319 0.181 0.500
Ge 0.000 0.000 0.000
Ge 0.500 0.500 0.000
W 0.361 0.861 0.000
W 0.861 0.639 0.000
W 0.639 0.139 0.000
W 0.139 0.361 0.000

Results
VASP energy ... -96.75 eV/cell
Symmetry ... P4/mbm (127)
ΔE to the lowest computed polymorph ... 0.000 eV per atom

***

Among the records above, which one has the highest VASP energy?
number 4

***

What is the VASP energy in the second record?
-31.65 eV/cell

***

Look up the VASP energy of the fifth one.
-41.74 eV/cell

***

Among the records above, which one has the lowest VASP energy?
Nb14GeW